# 1
Sn2AuSeBr | GGA-PBE | optimized geometry

Raw total energy   -15.43 eV for the cell shown
Raw formation energy   0.20 eV per atom

Lattice parameters (Å, degrees): 5.709 5.709 5.034 90.00 90.00 90.00
Space group P4/mmm (No. 123)
Unique sites:
1 Sn 0.000 0.500 0.000 (multiplicity 2)
2 Au 0.000 0.000 0.500 (multiplicity 1)
3 Se 0.000 0.000 0.000 (multiplicity 1)
4 Br 0.500 0.500 0.500 (multiplicity 1)

# 2
Cs2KMo | GGA-PBE | optimized geometry

Calculated formation energy   4.77 eV/f.u.
Raw total energy   -35.48 eV for the cell shown

Lattice parameters (Å, degrees): 9.994 9.994 9.994 90.00 90.00 90.00
Space group Fm-3m (No. 225)
Unique sites:
1 Cs 0.250 0.250 0.250 (multiplicity 8)
2 K 0.000 0.000 0.000 (multiplicity 4)
3 Mo 0.000 0.000 0.500 (multiplicity 4)

# 3
Dy5Tm2Pd4 | GGA-PBE | optimized geometry

Calculated formation energy   -3.95 eV/f.u.
Raw total energy   -113.35 eV for the cell shown

Lattice parameters (Å, degrees): 23.028 3.724 7.193 90.00 107.78 90.00
Space group C2/m (No. 12)
Unique sites:
1 Dy 0.000 0.000 0.000 (multiplicity 2)
2 Dy 0.121 0.500 0.880 (multiplicity 4)
3 Dy 0.135 0.500 0.397 (multiplicity 4)
4 Tm 0.235 0.000 0.779 (multiplicity 4)
5 Pd 0.005 0.500 0.306 (multiplicity 4)
6 Pd 0.077 0.000 0.577 (multiplicity 4)

# 4
Ac2CeRh2 | GGA-PBE | optimized geometry

Calculated formation energy   -2.99 eV/f.u.
Raw total energy   -63.69 eV for the cell shown

Lattice parameters (Å, degrees): 4.214 6.050 12.240 90.00 90.00 90.00
Space group Immm (No. 71)
Unique sites:
1 Ac 0.000 0.000 0.173 (multiplicity 4)
2 Ce 0.000 0.000 0.500 (multiplicity 2)
3 Rh 0.000 0.500 0.144 (multiplicity 4)

# 5
Pr3Zn2Hg6 | GGA-PBE | optimized geometry

Calculated formation energy   -2.63 eV/f.u.
Raw total energy   -42.65 eV for the cell shown

Lattice parameters (Å, degrees): 4.296 4.296 31.420 90.00 90.00 90.00
Space group I4/mmm (No. 139)
Unique sites:
1 Pr 0.000 0.000 0.000 (multiplicity 2)
2 Pr 0.000 0.000 0.172 (multiplicity 4)
3 Zn 0.000 0.000 0.362 (multiplicity 4)
4 Hg 0.000 0.000 0.274 (multiplicity 4)
5 Hg 0.000 0.500 0.079 (multiplicity 8)

# 6
Ce2PrTeO4 | GGA-PBE | optimized geometry

Raw total energy   -64.43 eV for the cell shown
Raw formation energy   -3.10 eV per atom

Lattice parameters (Å, degrees): 4.015 4.015 9.290 90.00 90.00 90.00
Space group P4/mmm (No. 123)
Unique sites:
1 Ce 0.000 0.000 0.227 (multiplicity 2)
2 Pr 0.500 0.500 0.500 (multiplicity 1)
3 Te 0.500 0.500 0.000 (multiplicity 1)
4 O 0.000 0.500 0.341 (multiplicity 4)

# 7
Cs2Li3PaF12 | GGA-PBE | optimized geometry

Raw total energy   -270.41 eV for the cell shown
Raw formation energy   -2.82 eV per atom

Lattice parameters (Å, degrees): 7.3120 7.3120 20.4858 90.00 90.00 120.00
Space group R-3m (No. 166, hexagonal axes)
Unique sites:
1 Cs 0.0000 0.0000 0.0953 (multiplicity 6)
2 Li 0.0000 0.5000 0.0000 (multiplicity 9)
3 Pa 0.0000 0.0000 0.5000 (multiplicity 3)
4 F 0.0444 0.5222 0.1147 (multiplicity 18)
5 F 0.0826 0.5413 0.3370 (multiplicity 18)

# 8
Al2RhW | GGA-PBE | optimized geometry

Calculated formation energy   -0.89 eV/f.u.
Raw total energy   -57.36 eV for the cell shown

Lattice parameters (Å, degrees): 2.832 4.843 8.810 90.00 90.00 90.00
Space group Immm (No. 71)
Unique sites:
1 Al 0.000 0.000 0.235 (multiplicity 4)
2 Rh 0.000 0.500 0.500 (multiplicity 2)
3 W 0.000 0.500 0.000 (multiplicity 2)

# 9
Pm3Nd3Tl | GGA-PBE | optimized geometry

Calculated formation energy   0.66 eV/f.u.
Raw total energy   -181.58 eV for the cell shown

Lattice parameters (Å, degrees): 8.6147 8.6147 22.0905 90.00 90.00 120.00
Space group R-3 (No. 148, hexagonal axes)
Unique sites:
1 Pm 0.0434 0.6038 0.3823 (multiplicity 18)
2 Nd 0.0178 0.7591 0.5554 (multiplicity 18)
3 Tl 0.0000 0.0000 0.1637 (multiplicity 6)

# 10
Pa2CrS | GGA-PBE | optimized geometry

Raw total energy   -99.52 eV for the cell shown
Raw formation energy   -0.11 eV per atom

Lattice parameters (Å, degrees): 3.2954 3.2954 26.2358 90.00 90.00 120.00
Space group R-3m (No. 166, hexagonal axes)
Unique sites:
1 Pa 0.0000 0.0000 0.0888 (multiplicity 6)
2 Cr 0.0000 0.0000 0.0000 (multiplicity 3)
3 S 0.0000 0.0000 0.5000 (multiplicity 3)

# 11
Ca2NdPaBi4 | GGA-PBE | optimized geometry

Calculated formation energy   -5.39 eV/f.u.
Raw total energy   -39.18 eV for the cell shown

Lattice parameters (Å, degrees): 7.907 4.607 7.938 90.00 109.40 90.00
Space group P2/m (No. 10)
Unique sites:
1 Ca 0.000 0.000 0.000 (multiplicity 1)
2 Ca 0.000 0.500 0.500 (multiplicity 1)
3 Nd 0.500 0.000 0.500 (multiplicity 1)
4 Pa 0.500 0.500 0.000 (multiplicity 1)
5 Bi 0.258 0.500 0.242 (multiplicity 2)
6 Bi 0.263 0.000 0.763 (multiplicity 2)

# 12
ErTmPu | GGA-PBE | optimized geometry

Calculated formation energy   0.30 eV/f.u.
Raw total energy   -46.13 eV for the cell shown

Lattice parameters (Å, degrees): 3.461 3.461 14.646 90.00 90.00 90.00
Space group I4mm (No. 107)
Unique sites:
1 Er 0.000 0.000 0.000 (multiplicity 2)
2 Tm 0.000 0.000 0.671 (multiplicity 2)
3 Pu 0.000 0.000 0.335 (multiplicity 2)

Number 1: DOS(E_F) 2.7 states/eV per cell. Number 2: DOS(E_F) 7.6 states/eV per cell. Number 3: DOS(E_F) 18.4 states/eV per cell. Number 4: DOS(E_F) 13.4 states/eV per cell. Number 5: DOS(E_F) 19.3 states/eV per cell. Number 6: DOS(E_F) 8.0 states/eV per cell. Number 7: DOS(E_F) 20.7 states/eV per cell. Number 8: DOS(E_F) 5.7 states/eV per cell. Number 9: DOS(E_F) 38.7 states/eV per cell. Number 10: DOS(E_F) 15.5 states/eV per cell. Number 11: DOS(E_F) 0.2 states/eV per cell. Number 12: DOS(E_F) 14.8 states/eV per cell.